Entry from the Alexandria database: an optimized crystal structure of TcW4Se (GGA-PBE).

```
TcW4Se
1.0
0.000 3.733 3.733
3.733 0.000 3.733
3.733 3.733 0.000
Tc W Se
1 4 1
Cartesian
0.000 0.000 0.000
4.661 2.805 2.805
2.805 4.661 2.805
2.805 2.805 4.661
4.661 4.661 4.661
1.866 1.866 1.866
```

Calculated values
Energy relative to the elements, uncorrected (eV/atom): 0.853
VASP energy (eV/atom): -10.09
V (A^3/atom): 17.34
Spin magnetization (Bohr magnetons per cell): 0.00
SG: F-43m (216)



Entry from the Alexandria database: an optimized crystal structure of TcW5Se12 (GGA-PBE).

```
TcW5Se12
1.0
2.861 -5.299 0.000
2.861 5.299 0.000
-0.064 0.000 13.794
Tc W Se
1 5 12
Cartesian
0.000 0.000 0.000
2.829 3.930 6.897
2.861 1.360 0.000
2.829 0.000 6.897
2.861 -1.360 0.000
2.829 -3.930 6.897
1.883 3.423 12.300
1.906 1.854 8.429
0.956 0.000 5.055
1.783 0.000 11.956
3.775 3.423 1.494
3.752 1.854 5.365
1.906 -1.854 8.429
1.883 -3.423 12.300
3.875 0.000 1.838
4.703 0.000 8.739
3.752 -1.854 5.365
3.775 -3.423 1.494
```

Calculated values
Energy relative to the elements, uncorrected (eV/atom): -0.395
VASP energy (eV/atom): -6.89
V (A^3/atom): 23.24
Spin magnetization (Bohr magnetons per cell): 0.89
SG: C2/m (12)



Entry from the Alexandria database: an optimized crystal structure of TcW2Se (GGA-PBE).

```
TcW2Se
1.0
-1.512 2.257 4.530
1.512 -2.257 4.530
1.512 2.257 -4.530
Tc W Se
1 2 1
Cartesian
0.000 0.000 0.000
1.512 0.000 2.365
0.000 0.000 4.966
0.000 2.257 2.498
```

Calculated values
Energy relative to the elements, uncorrected (eV/atom): 0.356
VASP energy (eV/atom): -9.58
V (A^3/atom): 15.46
Spin magnetization (Bohr magnetons per cell): 0.00
SG: Imm2 (44)



Entry from the Alexandria database: an optimized crystal structure of TcWSe2 (GGA-PBE).

```
TcWSe2
1.0
-1.550 2.187 4.807
1.550 -2.187 4.807
1.550 2.187 -4.807
Tc W Se
1 1 2
Cartesian
0.000 0.000 0.000
1.550 0.000 2.628
0.000 0.000 4.803
0.000 2.187 2.696
```

Calculated values
Energy relative to the elements, uncorrected (eV/atom): 0.411
VASP energy (eV/atom): -7.16
V (A^3/atom): 16.30
Spin magnetization (Bohr magnetons per cell): 0.00
Relative energy among the computed polymorphs (eV/atom): 0.5016
SG: Imm2 (44)



Entry from the Alexandria database: an optimized crystal structure of TcWSe2 (GGA-PBE).

```
TcWSe2
1.0
4.431 0.000 0.000
0.000 4.431 0.000
0.000 0.000 3.131
Tc W Se
1 1 2
Cartesian
0.000 0.000 0.000
2.216 2.216 0.000
0.000 2.216 1.565
2.216 0.000 1.565
```

Calculated values
Energy relative to the elements, uncorrected (eV/atom): 0.335
VASP energy (eV/atom): -7.24
V (A^3/atom): 15.37
Spin magnetization (Bohr magnetons per cell): 0.00
Relative energy among the computed polymorphs (eV/atom): 0.4265
SG: P4/mmm (123)



Entry from the Alexandria database: an optimized crystal structure of TcWSe2 (GGA-PBE).

```
TcWSe2
1.0
3.059 0.000 0.000
0.000 3.881 0.000
0.000 0.000 6.935
Tc W Se
1 1 2
Cartesian
0.000 0.000 0.000
1.530 1.941 1.185
0.000 0.000 2.440
1.530 1.941 5.687
```

Calculated values
Energy relative to the elements, uncorrected (eV/atom): 0.120
VASP energy (eV/atom): -7.45
V (A^3/atom): 20.59
Spin magnetization (Bohr magnetons per cell): 0.00
Relative energy among the computed polymorphs (eV/atom): 0.2107
SG: Pmm2 (25)



Entry from the Alexandria database: an optimized crystal structure of TcWSe2 (GGA-PBE).

```
TcWSe2
1.0
3.732 0.000 0.000
0.000 3.906 0.000
-0.013 0.000 6.430
Tc W Se
1 1 2
Cartesian
0.000 0.000 0.000
1.866 1.953 0.042
1.866 0.000 1.715
3.719 1.953 4.742
```

Calculated values
Energy relative to the elements, uncorrected (eV/atom): -0.052
VASP energy (eV/atom): -7.62
V (A^3/atom): 23.43
Spin magnetization (Bohr magnetons per cell): 0.00
Relative energy among the computed polymorphs (eV/atom): 0.0390
SG: Pm (6)



Entry from the Alexandria database: an optimized crystal structure of Tc2WSe (GGA-PBE).

```
Tc2WSe
1.0
-1.924 1.924 4.122
1.924 -1.924 4.122
1.924 1.924 -4.122
Tc W Se
2 1 1
Cartesian
1.924 0.000 2.061
0.000 1.924 2.061
0.000 0.000 0.000
0.000 0.000 4.122
```

Calculated values
Energy relative to the elements, uncorrected (eV/atom): 0.541
VASP energy (eV/atom): -8.75
V (A^3/atom): 15.26
Spin magnetization (Bohr magnetons per cell): 0.00
SG: I4/mmm (139)



Among the records above, which one has the lowest V? Tc2WSe



Copy entry 8 word for word.
Entry from the Alexandria database: an optimized crystal structure of Tc2WSe (GGA-PBE).

```
Tc2WSe
1.0
-1.924 1.924 4.122
1.924 -1.924 4.122
1.924 1.924 -4.122
Tc W Se
2 1 1
Cartesian
1.924 0.000 2.061
0.000 1.924 2.061
0.000 0.000 0.000
0.000 0.000 4.122
```

Calculated values
Energy relative to the elements, uncorrected (eV/atom): 0.541
VASP energy (eV/atom): -8.75
V (A^3/atom): 15.26
Spin magnetization (Bohr magnetons per cell): 0.00
SG: I4/mmm (139)



The lowest VASP energy belongs to which entry? TcW4Se



Which value of spin magnetization does entry 6 give? 0.00 Bohr magnetons per cell